# 1
# CsLi2TiFe

A geometry-optimized CsLi2TiFe structure (PBE-GGA, the Alexandria database).

a b c (Å): 5.501 6.195 5.501
angles (deg): 90.00 90.00 90.00
Fractional positions:
Li: 0.000 0.000 0.500
Li: 0.500 0.000 0.000
Ti: 0.000 0.000 0.000
Fe: 0.500 0.500 0.500
Cs: 0.000 0.500 0.000

Calculated values
ΔH_f (0 K): 1.65 eV/atom
E_tot: -2.557 eV/atom
Symmetry: No. 123

# 2
# V2SnAs2

A geometry-optimized V2SnAs2 structure (PBE-GGA, the Alexandria database).

a b c (Å): 3.796 3.796 7.244
angles (deg): 74.81 74.81 90.00
Fractional positions:
V: 0.250 0.750 0.500
V: 0.750 0.250 0.500
Sn: 0.000 0.000 0.000
As: 0.627 0.627 0.746
As: 0.373 0.373 0.254

Calculated values
ΔH_f (0 K): -0.05 eV/atom
E_tot: -6.362 eV/atom
Symmetry: No. 139
Energy above the most stable polymorph in this dataset: 69 meV per atom

# 3
# U2Fe3Ge5

A geometry-optimized U2Fe3Ge5 structure (PBE-GGA, the Alexandria database).

a b c (Å): 4.096 6.598 12.075
angles (deg): 90.00 99.76 90.00
Fractional positions:
Ge: 0.125 0.251 0.251
Fe: 0.225 0.208 0.451
U: 0.529 0.276 0.058
Fe: 0.051 0.993 0.101
Ge: 0.706 0.418 0.412
Ge: 0.294 0.918 0.588
Ge: 0.597 0.892 0.193
Fe: 0.402 0.994 0.805
U: 0.829 0.215 0.659
Ge: 0.403 0.392 0.807
Ge: 0.711 0.004 0.423
Ge: 0.289 0.504 0.577
U: 0.171 0.715 0.341
Fe: 0.598 0.494 0.195
Fe: 0.949 0.493 0.899
Ge: 0.953 0.115 0.906
U: 0.471 0.776 0.942
Fe: 0.775 0.708 0.549
Ge: 0.047 0.615 0.094
Ge: 0.875 0.751 0.749

Calculated values
ΔH_f (0 K): -0.25 eV/atom
E_tot: -7.351 eV/atom
Symmetry: No. 36